Entry 1:
The following is a PBE calculation of an optimized crystal structure of LiTbGdSb, from Alexandria via LeMat-Bulk.

magnetization: 1.894 μB per atom
calculated total energy: -6.651 eV/atom
Fermi-level density of states: 4.2 states/eV/cell
mass density: 7.3 g/cm³

a b c (Å): 5.2324 5.2324 5.2324
angles (deg): 60.00 60.00 60.00
Last column: nearest neighbours and their distance in Å.
Positions (direct):
Li  0.0000  0.0000  0.0000  4 Gd 3.20, 4 Tb 3.20
Tb  0.2500  0.2500  0.2500  4 Sb 3.20, 4 Li 3.20
Gd  0.7500  0.7500  0.7500  4 Sb 3.20, 4 Li 3.20
Sb  0.5000  0.5000  0.5000  4 Gd 3.20, 4 Tb 3.20

Entry 2:
The following is a PBE calculation of an optimized crystal structure of MgSc2, from Alexandria via LeMat-Bulk.

magnetization: 0.000 μB per atom
calculated total energy: -4.162 eV/atom
Fermi-level density of states: 21.3 states/eV/cell
energy of formation from the pure elements: 0.59 eV/atom
mass density: 2.3 g/cm³

a b c (Å): 6.8608 6.8608 6.8608
angles (deg): 90.00 90.00 90.00
Last column: nearest neighbours and their distance in Å.
Positions (direct):
Mg  0.0000  0.0000  0.0000  6 Sc 2.81
Mg  0.0000  0.5000  0.5000  6 Sc 2.81
Mg  0.5000  0.0000  0.5000  6 Sc 2.81
Mg  0.5000  0.5000  0.0000  6 Sc 2.81
Sc  0.1435  0.6435  0.8565  3 Mg 2.81
Sc  0.1435  0.8565  0.3565  3 Mg 2.81
Sc  0.3565  0.1435  0.8565  3 Mg 2.81
Sc  0.3565  0.3565  0.3565  3 Mg 2.81
Sc  0.6435  0.6435  0.6435  3 Mg 2.81
Sc  0.6435  0.8565  0.1435  3 Mg 2.81
Sc  0.8565  0.1435  0.6435  3 Mg 2.81
Sc  0.8565  0.3565  0.1435  3 Mg 2.81

Entry 3:
The following is a PBE calculation of an optimized crystal structure of Tb2Be3InPt4, from Alexandria via LeMat-Bulk.

magnetization: 0.000 μB per atom
calculated total energy: -5.571 eV/atom
Fermi-level density of states: 4.2 states/eV/cell
energy of formation from the pure elements: -0.84 eV/atom
mass density: 12.1 g/cm³

a b c (Å): 4.0634 4.0634 10.3134
angles (deg): 90.00 90.00 90.00
Last column: nearest neighbours and their distance in Å.
Positions (direct):
Tb  0.0000  0.5000  0.2328  8 Pt 3.05-3.15, 4 Be 3.13
Tb  0.5000  0.0000  0.7672  8 Pt 3.05-3.15, 4 Be 3.13
Be  0.0000  0.5000  0.8876  5 Pt 2.28-2.34
Be  0.5000  0.0000  0.1124  5 Pt 2.28-2.34
Be  0.5000  0.5000  0.5000  4 Pt 2.66, 4 In 2.87
In  0.0000  0.0000  0.5000  4 Pt 2.66, 4 Be 2.87
Pt  0.0000  0.0000  0.0000  4 Be 2.34
Pt  0.0000  0.5000  0.6667  1 Be 2.28
Pt  0.5000  0.0000  0.3333  1 Be 2.28
Pt  0.5000  0.5000  0.0000  4 Be 2.34

Entry 4:
The following is a PBE calculation of an optimized crystal structure of Er6Bi2C, from Alexandria via LeMat-Bulk.

magnetization: 0.000 μB per atom
calculated total energy: -5.339 eV/atom
Fermi-level density of states: 18.4 states/eV/cell
energy of formation from the pure elements: -0.41 eV/atom
mass density: 10.2 g/cm³
E above lowest polymorph: 0.025 eV per atom

a b c (Å): 6.9156 6.9156 9.7301
angles (deg): 90.00 90.00 90.00
Last column: nearest neighbours and their distance in Å.
Positions (direct):
Er  0.0000  0.0000  0.2466  1 C 2.40
Er  0.0000  0.0000  0.7534  1 C 2.40
Er  0.2452  0.2466  0.0000  1 C 2.40
Er  0.2466  0.7548  0.0000  1 C 2.40
Er  0.2534  0.2548  0.5000  1 C 2.40
Er  0.2548  0.7466  0.5000  1 C 2.40
Er  0.5000  0.5000  0.2534  1 C 2.40
Er  0.5000  0.5000  0.7466  1 C 2.40
Er  0.7452  0.2534  0.5000  1 C 2.40
Er  0.7466  0.7452  0.5000  1 C 2.40
Er  0.7534  0.2452  0.0000  1 C 2.40
Er  0.7548  0.7534  0.0000  1 C 2.40
Bi  0.0000  0.5000  0.2500  12 Er 3.44-3.46
Bi  0.0000  0.5000  0.7500  12 Er 3.44-3.46
Bi  0.5000  0.0000  0.2500  12 Er 3.44-3.46
Bi  0.5000  0.0000  0.7500  12 Er 3.44-3.46
C  0.0000  0.0000  0.0000  6 Er 2.40
C  0.5000  0.5000  0.5000  6 Er 2.40

Entry 5:
The following is a PBE calculation of an optimized crystal structure of BaZn3Rh, from Alexandria via LeMat-Bulk.

magnetization: 0.000 μB per atom
calculated total energy: -2.832 eV/atom
Fermi-level density of states: 10.1 states/eV/cell
energy of formation from the pure elements: -0.21 eV/atom
mass density: 6.6 g/cm³
E above lowest polymorph: 0.144 eV per atom

a b c (Å): 6.2618 11.0520 6.3222
angles (deg): 90.00 90.00 90.00
Last column: nearest neighbours and their distance in Å.
Positions (direct):
Ba  0.0000  0.0000  0.0000  2 Rh 3.34, 12 Zn 3.36-3.73
Ba  0.0000  0.5000  0.0000  2 Rh 3.34, 12 Zn 3.36-3.73
Ba  0.5000  0.0000  0.5000  2 Rh 3.34, 12 Zn 3.36-3.73
Ba  0.5000  0.5000  0.5000  2 Rh 3.34, 12 Zn 3.36-3.73
Zn  0.0090  0.1253  0.4841  2 Rh 2.58-2.60, 4 Zn 2.69-2.78
Zn  0.0090  0.3747  0.4841  2 Rh 2.58-2.60, 4 Zn 2.69-2.78
Zn  0.2227  0.2500  0.7843  1 Rh 2.65, 4 Zn 2.69-2.70
Zn  0.2773  0.7500  0.2843  1 Rh 2.65, 4 Zn 2.69-2.70
Zn  0.4910  0.6253  0.9841  2 Rh 2.58-2.60, 4 Zn 2.69-2.78
Zn  0.4910  0.8747  0.9841  2 Rh 2.58-2.60, 4 Zn 2.69-2.78
Zn  0.5090  0.1253  0.0159  2 Rh 2.58-2.60, 4 Zn 2.69-2.78
Zn  0.5090  0.3747  0.0159  2 Rh 2.58-2.60, 4 Zn 2.69-2.78
Zn  0.7227  0.2500  0.7157  1 Rh 2.65, 4 Zn 2.69-2.70
Zn  0.7773  0.7500  0.2157  1 Rh 2.65, 4 Zn 2.69-2.70
Zn  0.9910  0.6253  0.5159  2 Rh 2.58-2.60, 4 Zn 2.69-2.78
Zn  0.9910  0.8747  0.5159  2 Rh 2.58-2.60, 4 Zn 2.69-2.78
Rh  0.2168  0.2500  0.2035  5 Zn 2.58-2.65
Rh  0.2832  0.7500  0.7035  5 Zn 2.58-2.65
Rh  0.7168  0.2500  0.2965  5 Zn 2.58-2.65
Rh  0.7832  0.7500  0.7965  5 Zn 2.58-2.65

Entry 6:
The following is a PBE calculation of an optimized crystal structure of Cd2H2Au, from Alexandria via LeMat-Bulk.

magnetization: 0.000 μB per atom
calculated total energy: -2.221 eV/atom
Fermi-level density of states: 1.9 states/eV/cell
mass density: 8.7 g/cm³
E above lowest polymorph: 0.109 eV per atom

a b c (Å): 5.7668 5.7668 9.4331
angles (deg): 90.00 90.00 149.06
Last column: nearest neighbours and their distance in Å.
Positions (direct):
Cd  0.0634  0.9366  0.5000  1 H 2.10
Cd  0.2015  0.7985  0.8226  3 H 1.95-2.01
Cd  0.7985  0.2015  0.3226  3 H 1.95-2.01
Cd  0.9366  0.0634  0.0000  1 H 2.10
H  0.2473  0.7527  0.4467  3 Cd 2.01-2.10
H  0.3399  0.6601  0.6948  1 Au 1.75, 1 Cd 1.95
H  0.6601  0.3399  0.1948  1 Au 1.75, 1 Cd 1.95
H  0.7527  0.2473  0.9467  3 Cd 2.01-2.10
Au  0.4925  0.5075  0.7418  1 H 1.75
Au  0.5075  0.4925  0.2418  1 H 1.75

Entry 7:
The following is a PBE calculation of an optimized crystal structure of VCrSe2, from Alexandria via LeMat-Bulk.

magnetization: 0.761 μB per atom
calculated total energy: -6.551 eV/atom
Fermi-level density of states: 1.3 states/eV/cell
mass density: 6.9 g/cm³
E above lowest polymorph: 0.130 eV per atom

a b c (Å): 4.4678 4.4678 4.4678
angles (deg): 60.00 60.00 60.00
Last column: nearest neighbours and their distance in Å.
Positions (direct):
V  0.0000  0.0000  0.0000  8 Se 2.74
Cr  0.5000  0.5000  0.5000  8 Se 2.74
Se  0.2500  0.2500  0.2500  4 Cr 2.74, 4 V 2.74
Se  0.7500  0.7500  0.7500  4 Cr 2.74, 4 V 2.74

Entry 8:
The following is a PBE calculation of an optimized crystal structure of SmFe2Co2B, from Alexandria via LeMat-Bulk.

magnetization: 0.932 μB per atom
calculated total energy: -7.328 eV/atom
Fermi-level density of states: 10.2 states/eV/cell
energy of formation from the pure elements: -0.24 eV/atom
mass density: 8.4 g/cm³

a b c (Å): 5.1177 5.1177 6.8732
angles (deg): 90.00 90.00 120.41
Last column: nearest neighbours and their distance in Å.
Positions (direct):
Sm  0.0000  0.0000  0.0000  10 Fe 2.95-3.24, 8 Co 3.22-3.24
Sm  0.0000  0.0000  0.4919  8 Co 2.90-2.96, 6 B 2.93-2.98, 4 Fe 2.97
Fe  0.0000  0.5000  0.7113  2 B 2.09
Fe  0.3318  0.6682  0.0030  4 Co 2.46-2.50, 2 Fe 2.48
Fe  0.5000  0.0000  0.7113  2 B 2.09
Fe  0.6682  0.3318  0.0030  4 Co 2.46-2.50, 2 Fe 2.48
Co  0.0000  0.5000  0.2899  2 B 2.05
Co  0.5000  0.0000  0.2899  2 B 2.05
Co  0.5000  0.5000  0.2877  2 B 2.05
Co  0.5000  0.5000  0.7121  2 B 2.08
B  0.3355  0.6645  0.4962  4 Co 2.05-2.08, 2 Fe 2.09
B  0.6645  0.3355  0.4962  4 Co 2.05-2.08, 2 Fe 2.09

Entry 9:
The following is a PBE calculation of an optimized crystal structure of Ca2ZrBr, from Alexandria via LeMat-Bulk.

magnetization: 0.441 μB per atom
calculated total energy: -3.652 eV/atom
Fermi-level density of states: 4.6 states/eV/cell
mass density: 3.5 g/cm³
E above lowest polymorph: 0.378 eV per atom

a b c (Å): 5.9614 5.9614 3.4822
angles (deg): 90.00 90.00 103.86
Last column: nearest neighbours and their distance in Å.
Positions (direct):
Ca  0.0000  0.5000  0.0000  4 Zr 3.45, 4 Br 3.45, 4 Ca 3.48-3.68
Ca  0.5000  0.0000  0.0000  4 Zr 3.45, 4 Br 3.45, 4 Ca 3.48-3.68
Zr  0.0000  0.0000  0.5000  8 Ca 3.45, 2 Zr 3.48, 2 Br 3.68
Br  0.5000  0.5000  0.5000  8 Ca 3.45, 2 Br 3.48, 2 Zr 3.68

Entry 10:
The following is a PBE calculation of an optimized crystal structure of TlSbHOs2, from Alexandria via LeMat-Bulk.

magnetization: 1.074 μB per atom
calculated total energy: -3.429 eV/atom
Fermi-level density of states: 11.1 states/eV/cell
mass density: 7.8 g/cm³

a b c (Å): 5.1674 5.1674 5.6446
angles (deg): 90.00 90.00 90.00
Last column: nearest neighbours and their distance in Å.
Positions (direct):
Tl  0.0000  0.0000  0.0000  4 Os 2.58, 2 Sb 2.82
Sb  0.0000  0.0000  0.5000  2 Tl 2.82
H  0.5000  0.5000  0.5000  4 Sb 3.65, 8 Os 3.83
Os  0.0000  0.5000  0.0000  2 Tl 2.58
Os  0.5000  0.0000  0.0000  2 Tl 2.58

Entry 11:
The following is a PBE calculation of an optimized crystal structure of ZrTi2Ga2, from Alexandria via LeMat-Bulk.

magnetization: 0.209 μB per atom
calculated total energy: -6.464 eV/atom
Fermi-level density of states: 4.7 states/eV/cell
energy of formation from the pure elements: -0.39 eV/atom
mass density: 6.0 g/cm³
E above lowest polymorph: 0.047 eV per atom

a b c (Å): 6.6511 6.6511 6.6511
angles (deg): 146.42 146.42 48.23
Last column: nearest neighbours and their distance in Å.
Positions (direct):
Zr  0.0000  0.0000  0.0000  8 Ga 2.97
Ti  0.2500  0.7500  0.5000  4 Ga 2.66, 4 Ti 2.72
Ti  0.7500  0.2500  0.5000  4 Ga 2.66, 4 Ti 2.72
Ga  0.4014  0.4014  0.0000  1 Ga 2.39, 4 Ti 2.66
Ga  0.5986  0.5986  0.0000  1 Ga 2.39, 4 Ti 2.66

Entry 12:
The following is a PBE calculation of an optimized crystal structure of Tl2IrPd, from Alexandria via LeMat-Bulk.

magnetization: 0.000 μB per atom
calculated total energy: -4.438 eV/atom
Fermi-level density of states: 2.2 states/eV/cell
energy of formation from the pure elements: 0.26 eV/atom
mass density: 15.5 g/cm³
E above lowest polymorph: 0.000 eV per atom

a b c (Å): 4.7549 4.7549 4.7549
angles (deg): 60.00 60.00 60.00
Last column: nearest neighbours and their distance in Å.
Positions (direct):
Tl  0.2500  0.2500  0.2500  4 Ir 2.91, 4 Pd 2.91
Tl  0.7500  0.7500  0.7500  4 Ir 2.91, 4 Pd 2.91
Ir  0.0000  0.0000  0.0000  8 Tl 2.91
Pd  0.5000  0.5000  0.5000  8 Tl 2.91